# 1
Entry from the Alexandria database: crystalline Pu5P5O2 at its relaxed geometry (GGA-PBE).

Cell: 7.1335 7.1335 9.8258 Å, 118.81 118.81 33.28°
Fractional coordinates of all 12 atoms:
Pu  0.0000  0.0000  0.0000
Pu  0.1353  0.1353  0.7730
Pu  0.3739  0.3739  0.6661
Pu  0.6261  0.6261  0.3339
Pu  0.8647  0.8647  0.2270
P  0.2874  0.2874  0.3450
P  0.3678  0.3678  0.0114
P  0.5000  0.5000  0.5000
P  0.6322  0.6322  0.9886
P  0.7126  0.7126  0.6550
O  0.0428  0.0428  0.2565
O  0.9572  0.9572  0.7435

Values from the calculation:
E = -0.7678 Ry/atom
D(E_F) = 39.38 states/eV/f.u.
Symmetry = C2/m
Energy relative to the elements, uncorrected = -1.395 eV per atom

# 2
Entry from the Alexandria database: crystalline PuPO6 at its relaxed geometry (GGA-PBE).

Cell: 5.3831 5.4723 5.5529 Å, 78.49 61.67 63.46°
Fractional coordinates of all 8 atoms:
Pu  0.0000  0.0000  0.0000
P  0.8194  0.6486  0.6538
O  0.1511  0.1602  0.1216
O  0.4630  0.7521  0.7414
O  0.5992  0.2046  0.2210
O  0.8510  0.8039  0.8402
O  0.9534  0.3418  0.7013
O  0.9811  0.7134  0.3535

Values from the calculation:
E = -0.6110 Ry/atom
Symmetry = P1
ΔE to the lowest computed polymorph = 0.000 kcal/mol of atoms
Energy relative to the elements, uncorrected = -2.127 eV per atom

# 3
Entry from the Alexandria database: crystalline PuPO at its relaxed geometry (GGA-PBE).

Cell: 4.5245 4.5245 5.4133 Å, 90.00 90.00 101.30°
Fractional coordinates of all 6 atoms:
Pu  0.2239  0.7761  0.7500
Pu  0.7761  0.2239  0.2500
P  0.3714  0.6286  0.2500
P  0.6286  0.3714  0.7500
O  0.0000  0.0000  0.0000
O  0.0000  0.0000  0.5000

Values from the calculation:
E = -0.7030 Ry/atom
D(E_F) = 6.65 states/eV/f.u.
Symmetry = Cmcm
ΔE to the lowest computed polymorph = 15.456 kcal/mol of atoms
Energy relative to the elements, uncorrected = -1.332 eV per atom

# 4
Entry from the Alexandria database: crystalline PuP3O9 at its relaxed geometry (GGA-PBE).

Cell: 7.1238 7.1238 7.3816 Å, 90.00 90.00 105.21°
Fractional coordinates of all 26 atoms:
Pu  0.1321  0.1321  0.0000
Pu  0.8679  0.8679  0.5000
P  0.2502  0.2502  0.5000
P  0.3155  0.6691  0.9543
P  0.3309  0.6845  0.5457
P  0.6691  0.3155  0.0457
P  0.6845  0.3309  0.4543
P  0.7498  0.7498  0.0000
O  0.1356  0.1721  0.6692
O  0.1711  0.7833  0.5356
O  0.1721  0.1356  0.3308
O  0.2167  0.8289  0.9644
O  0.2198  0.4761  0.0377
O  0.2510  0.4697  0.4582
O  0.3721  0.6279  0.7500
O  0.4697  0.2510  0.5418
O  0.4761  0.2198  0.9623
O  0.5239  0.7802  0.4623
O  0.5303  0.7490  0.0418
O  0.6279  0.3721  0.2500
O  0.7490  0.5303  0.9582
O  0.7802  0.5239  0.5377
O  0.7833  0.1711  0.4644
O  0.8279  0.8644  0.8308
O  0.8289  0.2167  0.0356
O  0.8644  0.8279  0.1692

Values from the calculation:
E = -0.5984 Ry/atom
D(E_F) = 9.12 states/eV/f.u.
Symmetry = C222_1
Energy relative to the elements, uncorrected = -2.359 eV per atom